6
Lattice="-4.942 -0.447 -3.574 -3.158 -5.232 -0.211 -5.568 -0.314 2.508" Properties=species:S:1:pos:R:3 comment="CaNdIn4 | the Alexandria database | PBE | relaxed" density_g_cm3=6.61 spacegroup="F-43m, No. 216" formation_energy_kj_per_mol_atoms=-35 de_polymorph_mev_per_atom=49 crystal_system=cubic m_tot_mub_per_fu=0.0 pbc="T T T"
In -6.070 -3.523 0.992
In -6.964 -1.126 -0.693
Ca -3.417 -1.498 -0.319
In -5.756 -3.590 -2.055
Nd 0.000 0.000 0.000
In -8.546 -3.747 -0.799